Entry 1:
Compound: U2Si4MoIr3
Source: the Alexandria database
Functional: PBE
Structure: optimized geometry

It has space group P-4m2 (No. 115), with a = 4.194 Å, b = 4.194 Å, c = 9.699 Å, α = 90.00°, β = 90.00° and γ = 90.00°. The distinct sites, in fractional coordinates, are U at (0.000, 0.500, 0.247), Si at (0.000, 0.000, 0.500), Si at (0.000, 0.500, 0.866), Si at (0.500, 0.500, 0.500), Mo at (0.500, 0.500, 0.000), Ir at (0.000, 0.000, 0.000) and Ir at (0.000, 0.500, 0.624).

The calculation puts the uncorrected formation energy at -642 meV per atom. The size of the total moment is 3.7 μB/f.u.

=====

Entry 2:
Compound: VSiMo2Ir
Source: the Alexandria database
Functional: PBE
Structure: optimized geometry

It has space group P4/mmm (No. 123), with a = 4.796 Å, b = 4.796 Å, c = 4.369 Å, α = 90.00°, β = 90.00° and γ = 90.00°. The distinct sites, in fractional coordinates, are V at (0.000, 0.000, 0.000), Si at (0.500, 0.500, 0.000), Mo at (0.000, 0.500, 0.500) and Ir at (0.500, 0.500, 0.500).

The calculation puts the uncorrected formation energy at 1473 meV per atom. The size of the total moment is 0.5 μB/f.u.

=====

Entry 3:
Compound: Sn3MoIr
Source: the Alexandria database
Functional: PBE
Structure: optimized geometry

It has space group Pm-3m (No. 221), with a = 5.175 Å, b = 5.175 Å, c = 5.175 Å, α = 90.00°, β = 90.00° and γ = 90.00°. The distinct sites, in fractional coordinates, are Sn at (0.000, 0.000, 0.500), Mo at (0.000, 0.000, 0.000) and Ir at (0.500, 0.500, 0.500).

The calculation puts the energy of formation from the pure elements at 5.73 eV/f.u. The size of the total moment is 3.0 μB/f.u. For the relative energy among the computed polymorphs, the calculation gives 263 meV per atom.

=====

Entry 4:
Compound: SnMo2Ir2
Source: the Alexandria database
Functional: PBE
Structure: optimized geometry

It has space group P4/mbm (No. 127), with a = 7.748 Å, b = 7.748 Å, c = 2.828 Å, α = 90.00°, β = 90.00° and γ = 90.00°. The distinct sites, in fractional coordinates, are Sn at (0.000, 0.000, 0.000), Mo at (0.167, 0.333, 0.500) and Ir at (0.125, 0.625, 0.000).

The calculation puts the energy of formation from the pure elements at 0.15 eV/f.u. The size of the total moment is 0.0 μB/f.u.

=====

Entry 5:
Compound: Sn3MoIr
Source: the Alexandria database
Functional: PBE
Structure: optimized geometry

It has space group Pm-3m (No. 221), with a = 5.125 Å, b = 5.125 Å, c = 5.125 Å, α = 90.00°, β = 90.00° and γ = 90.00°. The distinct sites, in fractional coordinates, are Sn at (0.000, 0.000, 0.500), Mo at (0.500, 0.500, 0.500) and Ir at (0.000, 0.000, 0.000).

The calculation puts the energy of formation from the pure elements at 4.42 eV/f.u. The size of the total moment is 3.7 μB/f.u. For the relative energy among the computed polymorphs, the calculation gives 0 meV per atom.

=====

Entry 6:
Compound: SnMo3Ir
Source: the Alexandria database
Functional: PBE
Structure: optimized geometry

It has space group Pm-3m (No. 221), with a = 4.784 Å, b = 4.784 Å, c = 4.784 Å, α = 90.00°, β = 90.00° and γ = 90.00°. The distinct sites, in fractional coordinates, are Sn at (0.000, 0.000, 0.000), Mo at (0.000, 0.500, 0.500) and Ir at (0.500, 0.500, 0.500).

The calculation puts the energy of formation from the pure elements at 6.86 eV/f.u. The size of the total moment is 2.1 μB/f.u. For the relative energy among the computed polymorphs, the calculation gives 0 meV per atom.

=====

Entry 7:
Compound: TaSnMoIr
Source: the Alexandria database
Functional: PBE
Structure: optimized geometry

It has space group F-43m (No. 216), with a = 6.478 Å, b = 6.478 Å, c = 6.478 Å, α = 90.00°, β = 90.00° and γ = 90.00°. The distinct sites, in fractional coordinates, are Ta at (0.000, 0.000, 0.000), Sn at (0.000, 0.000, 0.500), Mo at (0.250, 0.250, 0.750) and Ir at (0.250, 0.250, 0.250).

The calculation puts the energy of formation from the pure elements at -0.63 eV/f.u. The size of the total moment is 0.0 μB/f.u.

=====

Entry 8:
Compound: TiSnMoIr
Source: the Alexandria database
Functional: PBE
Structure: optimized geometry

It has space group F-43m (No. 216), with a = 6.406 Å, b = 6.406 Å, c = 6.406 Å, α = 90.00°, β = 90.00° and γ = 90.00°. The distinct sites, in fractional coordinates, are Ti at (0.000, 0.000, 0.000), Sn at (0.000, 0.000, 0.500), Mo at (0.250, 0.250, 0.750) and Ir at (0.250, 0.250, 0.250).

The calculation puts the energy of formation from the pure elements at -1.11 eV/f.u. The size of the total moment is 0.0 μB/f.u.

=====

Entry 9:
Compound: VSnMoIr
Source: the Alexandria database
Functional: PBE
Structure: optimized geometry

It has space group F-43m (No. 216), with a = 6.337 Å, b = 6.337 Å, c = 6.337 Å, α = 90.00°, β = 90.00° and γ = 90.00°. The distinct sites, in fractional coordinates, are V at (0.000, 0.000, 0.000), Sn at (0.000, 0.000, 0.500), Mo at (0.250, 0.250, 0.750) and Ir at (0.250, 0.250, 0.250).

The calculation puts the energy of formation from the pure elements at -0.28 eV/f.u. The size of the total moment is 0.0 μB/f.u.

=====

Entry 10:
Compound: SrMo2Ir
Source: the Alexandria database
Functional: PBE
Structure: optimized geometry

It has space group F-43m (No. 216), with a = 6.623 Å, b = 6.623 Å, c = 6.623 Å, α = 90.00°, β = 90.00° and γ = 90.00°. The distinct sites, in fractional coordinates, are Sr at (0.000, 0.000, 0.000), Mo at (0.000, 0.000, 0.500), Mo at (0.250, 0.250, 0.750) and Ir at (0.250, 0.250, 0.250).

The calculation puts the energy of formation from the pure elements at 2.85 eV/f.u. The size of the total moment is 0.0 μB/f.u. For the relative energy among the computed polymorphs, the calculation gives 323 meV per atom.

=====

Entry 11:
Compound: SrMoIr2
Source: the Alexandria database
Functional: PBE
Structure: optimized geometry

It has space group I-42d (No. 122), with a = 7.507 Å, b = 7.507 Å, c = 6.148 Å, α = 90.00°, β = 90.00° and γ = 90.00°. The distinct sites, in fractional coordinates, are Sr at (0.000, 0.000, 0.000), Mo at (0.000, 0.000, 0.500) and Ir at (0.185, 0.250, 0.625).

The calculation puts the energy of formation from the pure elements at 1.90 eV/f.u. The size of the total moment is 0.0 μB/f.u. For the relative energy among the computed polymorphs, the calculation gives 451 meV per atom.

=====

Entry 12:
Compound: Sr2MoIr
Source: the Alexandria database
Functional: PBE
Structure: optimized geometry

It has space group I-42d (No. 122), with a = 11.289 Å, b = 11.289 Å, c = 4.822 Å, α = 90.00°, β = 90.00° and γ = 90.00°. The distinct sites, in fractional coordinates, are Sr at (0.081, 0.250, 0.125), Mo at (0.000, 0.000, 0.500) and Ir at (0.000, 0.000, 0.000).

The calculation puts the energy of formation from the pure elements at 2.28 eV/f.u. The size of the total moment is 2.7 μB/f.u. For the relative energy among the computed polymorphs, the calculation gives 286 meV per atom.

=====

| no. | total DFT energy (no corrections) (eV/cell) |
| --- | --- |
| 1 | -88.1 |
| 2 | -37.7 |
| 3 | -26.0 |
| 4 | -86.5 |
| 5 | -27.3 |
| 6 | -38.5 |
| 7 | -144.7 |
| 8 | -130.8 |
| 9 | -132.4 |
| 10 | -117.4 |
| 11 | -113.3 |
| 12 | -83.1 |